Run P
! LaCePdPt PBE relaxed; values from VASP
&SYSTEM
  ibrav = 0, nat = 4, ntyp = 4
/
ATOMIC_SPECIES
Pt 195.08 Pt.upf
La 138.91 La.upf
Pd 106.42 Pd.upf
Ce 140.12 Ce.upf
ATOMIC_POSITIONS crystal
Pt 0.589 0.500 0.179
La 0.137 0.000 0.274
Pd 0.408 0.000 0.816
Ce 0.866 0.500 0.732
CELL_PARAMETERS angstrom
3.914 0.000 0.000
0.000 4.599 0.000
-1.957 0.000 5.497
! D(E_F) in states/eV/cell: 7.8
! V in Å³/cell: 98.9

---

Run Q
! LaCePdPt PBE relaxed; values from VASP
&SYSTEM
  ibrav = 0, nat = 4, ntyp = 4
/
ATOMIC_SPECIES
Pd 106.42 Pd.upf
Pt 195.08 Pt.upf
Ce 140.12 Ce.upf
La 138.91 La.upf
ATOMIC_POSITIONS crystal
Pd 0.250 0.250 0.250
Pt 0.750 0.750 0.750
Ce 0.000 0.000 0.000
La 0.500 0.500 0.500
CELL_PARAMETERS angstrom
5.122 0.000 0.000
2.561 4.436 0.000
2.561 1.479 4.182
! D(E_F) in states/eV/cell: 8.9
! V in Å³/cell: 95.0

---

Need the numbers? Relative energies in eV/atom: run P 0.000; run Q 0.090.

---

Run P
! LaCePm2 PBE relaxed; values from VASP
&SYSTEM
  ibrav = 0, nat = 4, ntyp = 3
/
ATOMIC_SPECIES
Pm 145.00 Pm.upf
La 138.91 La.upf
Ce 140.12 Ce.upf
ATOMIC_POSITIONS crystal
Pm 0.908 0.908 0.276
La 0.000 0.000 0.000
Ce 0.500 0.500 0.500
Pm 0.092 0.092 0.724
CELL_PARAMETERS angstrom
3.524 0.000 0.000
1.762 3.052 0.000
1.762 1.017 12.510
! D(E_F) in states/eV/cell: 6.9
! V in Å³/cell: 134.5

---

Run Q
! LaCePm2 PBE relaxed; values from VASP
&SYSTEM
  ibrav = 0, nat = 4, ntyp = 3
/
ATOMIC_SPECIES
La 138.91 La.upf
Pm 145.00 Pm.upf
Ce 140.12 Ce.upf
ATOMIC_POSITIONS crystal
La 0.500 0.500 0.500
Pm 0.000 0.000 0.767
Ce 0.500 0.500 0.000
Pm 0.000 0.000 0.233
CELL_PARAMETERS angstrom
-0.905 -2.204 2.678
3.421 -0.115 1.062
-1.647 8.209 6.198
! D(E_F) in states/eV/cell: 7.4
! V in Å³/cell: 133.8

---

Run R
! LaCePm2 PBE relaxed; values from VASP
&SYSTEM
  ibrav = 0, nat = 4, ntyp = 3
/
ATOMIC_SPECIES
Pm 145.00 Pm.upf
Ce 140.12 Ce.upf
La 138.91 La.upf
ATOMIC_POSITIONS crystal
Pm 0.085 0.085 0.745
Ce 0.500 0.500 0.499
La 0.667 0.667 0.000
Pm 0.248 0.248 0.256
CELL_PARAMETERS angstrom
3.634 0.000 0.000
1.817 3.147 0.000
1.817 1.049 11.879
! D(E_F) in states/eV/cell: 8.5
! V in Å³/cell: 135.8

---

Need the numbers? Relative energies in eV/atom: run P 0.088; run Q 0.000; run R 0.008.